[1]
This record from Alexandria describes a relaxed structure of Na2CdCl. The functional is PBE-GGA.

Cell lengths 7.5987, 7.5987, 7.5987 Å; angles 90.00, 90.00, 90.00 degrees
Space group Fm-3m (No. 225)
Unique sites:
Na 0.2500 0.2500 0.2500
Cd 0.0000 0.0000 0.0000
Cl 0.0000 0.0000 0.5000

Formation energy (no corrections)   -0.56 eV per atom
Energy relative to the lowest polymorph listed for this composition   103 kJ/mol of formula units
Size of the total moment   0.0 Bohr magnetons per cell
Crystal system   cubic

***

[2]
This record from Alexandria describes a relaxed structure of Zn2IrBr. The functional is PBE-GGA.

Cell lengths 3.2454, 3.4661, 14.4991 Å; angles 90.00, 90.00, 90.00 degrees
Space group Imm2 (No. 44)
Unique sites:
Zn 0.0000 0.0000 0.0000
Zn 0.0000 0.5000 0.1940
Ir 0.0000 0.0000 0.5577
Br 0.0000 0.5000 0.7967

Formation energy (no corrections)   0.04 eV per atom
Energy relative to the lowest polymorph listed for this composition   47 kJ/mol of formula units
Size of the total moment   0.0 Bohr magnetons per cell
Crystal system   orthorhombic

***

[3]
This record from Alexandria describes a relaxed structure of HfCo2Os2. The functional is PBE-GGA.

Cell lengths 7.2527, 7.2527, 2.7171 Å; angles 90.00, 90.00, 90.00 degrees
Space group P4/mbm (No. 127)
Unique sites:
Hf 0.0000 0.0000 0.0000
Co 0.1717 0.3283 0.5000
Os 0.1254 0.6254 0.0000

Calculated formation energy   0.084 eV/atom
Energy relative to the lowest polymorph listed for this composition   35 kJ/mol of formula units
Size of the total moment   3.5 Bohr magnetons per cell
Crystal system   tetragonal

***

[4]
This record from Alexandria describes a relaxed structure of Nd2GdRh. The functional is PBE-GGA.

Cell lengths 3.6430, 3.6430, 8.6062 Å; angles 90.00, 90.00, 90.00 degrees
Space group P4/mmm (No. 123)
Unique sites:
Nd 0.0000 0.0000 0.1924
Gd 0.5000 0.5000 0.5000
Rh 0.5000 0.5000 0.0000

Calculated formation energy   -0.281 eV/atom
Energy relative to the lowest polymorph listed for this composition   0 kJ/mol of formula units
Size of the total moment   8.4 Bohr magnetons per cell
Crystal system   tetragonal

***

Question: Among the records above, which one has the lowest energy relative to the lowest polymorph listed for this composition?
Answer: Nd2GdRh